1.
The following is a DFT calculation (GGA-PBE) of an optimized crystal structure of Si2TeAs.

It has space group R-3m (No. 166, hexagonal axes), with a = 3.8664 Å, b = 3.8664 Å, c = 19.1997 Å, α = 90.00°, β = 90.00° and γ = 120.00°. The inequivalent atoms are Si at (0.0000, 0.0000, 0.2400), Te at (0.0000, 0.0000, 0.0000) and As at (0.0000, 0.0000, 0.5000).

For the formation energy from raw total energies, the calculation gives 0.1940 eV/atom. As for the excess energy over the best structure of this formula in the dataset: 75.7 meV per atom.

2.
The following is a DFT calculation (GGA-PBE) of an optimized crystal structure of SiTeAs2.

It has space group Immm (No. 71), with a = 3.4641 Å, b = 4.8523 Å, c = 10.2807 Å, α = 90.00°, β = 90.00° and γ = 90.00°. The inequivalent atoms are Si at (0.0000, 0.0000, 0.0000), Te at (0.0000, 0.0000, 0.5000) and As at (0.0000, 0.5000, 0.3136).

For the formation energy from raw total energies, the calculation gives 0.4011 eV/atom. As for the excess energy over the best structure of this formula in the dataset: 261.5 meV per atom.

3.
The following is a DFT calculation (GGA-PBE) of an optimized crystal structure of Si2TeAs.

It has space group P2/m (No. 10), with a = 4.7659 Å, b = 3.8817 Å, c = 4.7862 Å, α = 90.00°, β = 108.90° and γ = 90.00°. The inequivalent atoms are Si at (0.2380, 0.0000, 0.2734), Te at (0.5000, 0.5000, 0.0000) and As at (0.0000, 0.5000, 0.5000).

For the formation energy from raw total energies, the calculation gives 0.2716 eV/atom. As for the excess energy over the best structure of this formula in the dataset: 153.3 meV per atom.

4.
The following is a DFT calculation (GGA-PBE) of an optimized crystal structure of Th6Si2TeAs3.

It has space group C2/m (No. 12), with a = 18.7090 Å, b = 4.2857 Å, c = 8.6264 Å, α = 90.00°, β = 103.02° and γ = 90.00°. The inequivalent atoms are Th at (0.0041, 0.0000, 0.2715), Th at (0.1690, 0.5000, 0.5801), Th at (0.1749, 0.5000, 0.0957), Si at (0.1666, 0.0000, 0.3327), Te at (0.0000, 0.5000, 0.0000), As at (0.0000, 0.5000, 0.5000) and As at (0.1619, 0.0000, 0.8343).

For the formation energy from raw total energies, the calculation gives -1.1124 eV/atom.

5.
The following is a DFT calculation (GGA-PBE) of an optimized crystal structure of Th4SiTe2As.

It has space group P2/m (No. 10), with a = 7.4762 Å, b = 4.3115 Å, c = 7.7603 Å, α = 90.00°, β = 108.74° and γ = 90.00°. The inequivalent atoms are Th at (0.2324, 0.0000, 0.2130), Th at (0.2556, 0.5000, 0.7849), Si at (0.0000, 0.5000, 0.0000), Te at (0.0000, 0.0000, 0.5000), Te at (0.5000, 0.5000, 0.5000) and As at (0.5000, 0.0000, 0.0000).

For the formation energy from raw total energies, the calculation gives -1.1201 eV/atom.

6.
The following is a DFT calculation (GGA-PBE) of an optimized crystal structure of Th8Si3Te4As.

It has space group R-3m (No. 166, hexagonal axes), with a = 8.6472 Å, b = 8.6472 Å, c = 22.0213 Å, α = 90.00°, β = 90.00° and γ = 120.00°. The inequivalent atoms are Th at (0.0000, 0.0000, 0.2370), Th at (0.0054, 0.5027, 0.7625), Si at (0.0000, 0.5000, 0.5000), Te at (0.0000, 0.0000, 0.0000), Te at (0.0000, 0.5000, 0.0000) and As at (0.0000, 0.0000, 0.5000).

For the formation energy from raw total energies, the calculation gives -1.0514 eV/atom.

7.
The following is a DFT calculation (GGA-PBE) of an optimized crystal structure of Th6SiTe3As2.

It has space group C2/m (No. 12), with a = 19.2516 Å, b = 4.3250 Å, c = 8.8449 Å, α = 90.00°, β = 105.61° and γ = 90.00°. The inequivalent atoms are Th at (0.0066, 0.0000, 0.2269), Th at (0.1571, 0.5000, 0.0992), Th at (0.1736, 0.5000, 0.5649), Si at (0.0000, 0.5000, 0.0000), Te at (0.0000, 0.5000, 0.5000), Te at (0.1674, 0.0000, 0.8333) and As at (0.1667, 0.0000, 0.3331).

For the formation energy from raw total energies, the calculation gives -1.1605 eV/atom.

8.
The following is a DFT calculation (GGA-PBE) of an optimized crystal structure of TiSiTe2As.

It has space group P4/mmm (No. 123), with a = 5.5042 Å, b = 5.5042 Å, c = 4.7943 Å, α = 90.00°, β = 90.00° and γ = 90.00°. The inequivalent atoms are Ti at (0.0000, 0.0000, 0.0000), Si at (0.5000, 0.5000, 0.0000), Te at (0.0000, 0.5000, 0.5000) and As at (0.0000, 0.0000, 0.5000).

For the formation energy from raw total energies, the calculation gives 0.7537 eV/atom.

Q: Which value of formation energy from raw total energies does entry 7 give?
A: -1.1605 eV/atom